Density functional theory data (PBE) for a geometry-optimized LiSI2 structure.

Cell: 5.4964 5.4964 5.4964 Å, 60.00 60.00 60.00°
Site moments in Bohr magnetons follow the coordinates.
Atoms (fractional coordinates):
1 Li 0.0000 0.0000 0.0000  0.01
2 I 0.7500 0.7500 0.7500  0.36
3 S 0.5000 0.5000 0.5000  1.11
4 I 0.2500 0.2500 0.2500  0.36

## Properties
Symmetry: Fm-3m
Calculated density (g/cm3): 4.141
Fermi-level density of states (states/eV per atom): 0.7764
Formation energy without anion corrections (eV per atom): 0.1945